Record 1
Computed, not measured: a geometry-optimized UNbPt structure at the PBE-GGA level of DFT.

## Properties
Excess energy over the best structure of this formula in the dataset: 0.000 eV per formula unit
Energy relative to the elements: 24.0 kJ/mol of atoms
Magnetic moment: 2.8 μB per formula unit

Lattice parameters (Å, degrees): 4.5875 4.5875 4.5875 60.00 60.00 60.00
Element x y z (fractional)
1 U 0.0000 0.0000 0.0000
2 Nb 0.5000 0.5000 0.5000
3 Pt 0.7500 0.7500 0.7500

=====

Record 2
Computed, not measured: a geometry-optimized AcZrTa structure at the PBE-GGA level of DFT.

## Properties
Energy relative to the elements: 85.8 kJ/mol of atoms
Magnetic moment: 0.0 μB per formula unit

Lattice parameters (Å, degrees): 4.9639 4.9639 4.9639 60.00 60.00 60.00
Element x y z (fractional)
1 Ac 0.0000 0.0000 0.0000
2 Zr 0.5000 0.5000 0.5000
3 Ta 0.7500 0.7500 0.7500

=====

Record 3
Computed, not measured: a geometry-optimized RbAgTe2PbSe structure at the PBE-GGA level of DFT.

Lattice parameters (Å, degrees): 7.1367 7.1367 12.3028 90.00 90.00 142.77
Element x y z (fractional)
1 Rb 0.2144 0.7856 0.7500
2 Rb 0.7856 0.2144 0.2500
3 Ag 0.0740 0.9260 0.2500
4 Ag 0.9260 0.0740 0.7500
5 Te 0.1641 0.8359 0.0361
6 Te 0.1641 0.8359 0.4639
7 Te 0.8359 0.1641 0.5361
8 Te 0.8359 0.1641 0.9639
9 Pb 0.5000 0.5000 0.0000
10 Pb 0.5000 0.5000 0.5000
11 Se 0.4781 0.5219 0.2500
12 Se 0.5219 0.4781 0.7500

=====

Record 4
Computed, not measured: a geometry-optimized NiHg2 structure at the PBE-GGA level of DFT.

## Properties
Energy relative to the elements: 20.8 kJ/mol of atoms
Magnetic moment: 0.0 μB per formula unit

Lattice parameters (Å, degrees): 4.4217 4.4217 4.4217 60.00 60.00 60.00
Element x y z (fractional)
1 Ni 0.0000 0.0000 0.0000
2 Hg 0.2500 0.2500 0.2500
3 Hg 0.7500 0.7500 0.7500

=====

Record 5
Computed, not measured: a geometry-optimized ZrCoAsAu structure at the PBE-GGA level of DFT.

## Properties
Excess energy over the best structure of this formula in the dataset: 0.000 eV per formula unit
Magnetic moment: 1.0 μB per formula unit

Lattice parameters (Å, degrees): 4.5638 4.5638 4.5638 60.00 60.00 60.00
Element x y z (fractional)
1 Zr 0.0000 0.0000 0.0000
2 Co 0.5000 0.5000 0.5000
3 As 0.2500 0.2500 0.2500
4 Au 0.7500 0.7500 0.7500

=====

Record 6
Computed, not measured: a geometry-optimized NdTm2Bi3 structure at the PBE-GGA level of DFT.

## Properties
Magnetic moment: 0.0 μB per formula unit

Lattice parameters (Å, degrees): 4.4761 4.4761 10.9699 90.00 90.00 120.00
Element x y z (fractional)
1 Nd 0.0000 0.0000 0.0000
2 Tm 0.3333 0.6667 0.3375
3 Tm 0.6667 0.3333 0.6625
4 Bi 0.0000 0.0000 0.5000
5 Bi 0.3333 0.6667 0.8228
6 Bi 0.6667 0.3333 0.1772

=====

no.,E_tot (eV per atom)
1,-8.90
2,-7.28
3,-3.28
4,-1.84
5,-6.11
6,-5.16